A relaxed structure of NbSnHgC2. Source: Alexandria, functional PBE.

Structure (CIF):
```
data_NbSnHgC2
_cell_length_a 4.182
_cell_length_b 4.182
_cell_length_c 5.630
_cell_angle_alpha 90.00
_cell_angle_beta 90.00
_cell_angle_gamma 90.00
_symmetry_space_group_name_H-M 'P 1'
_symmetry_Int_Tables_number 1
loop_
_symmetry_equiv_pos_as_xyz
'x,y,z'
loop_
_atom_site_label
_atom_site_fract_x
_atom_site_fract_y
_atom_site_fract_z
Nb1 0.000 0.000 0.000
Sn1 0.500 0.500 0.000
Hg1 0.000 0.000 0.500
C1 0.000 0.500 0.500
C2 0.500 0.000 0.500
```

Summary:
The density of states at the Fermi level is 5.1 states/eV/cell. As for the energy of formation from the pure elements: 12.7 eV per formula unit. Its energy above the lowest structure with this stoichiometry is 0.080 eV/atom.


A relaxed structure of RbMnAl3. Source: Alexandria, functional PBE.

Structure (CIF):
```
data_RbMnAl3
_cell_length_a 4.809
_cell_length_b 4.809
_cell_length_c 4.809
_cell_angle_alpha 90.00
_cell_angle_beta 90.00
_cell_angle_gamma 90.00
_symmetry_space_group_name_H-M 'P 1'
_symmetry_Int_Tables_number 1
loop_
_symmetry_equiv_pos_as_xyz
'x,y,z'
loop_
_atom_site_label
_atom_site_fract_x
_atom_site_fract_y
_atom_site_fract_z
Rb1 0.000 0.000 0.000
Mn1 0.500 0.500 0.500
Al1 0.000 0.500 0.500
Al2 0.500 0.000 0.500
Al3 0.500 0.500 0.000
```

Summary:
The density of states at the Fermi level is 1.7 states/eV/cell. As for the energy of formation from the pure elements: 0.9 eV per formula unit. Its energy above the lowest structure with this stoichiometry is 0.000 eV/atom.


A relaxed structure of KFe2Se. Source: Alexandria, functional PBE.

Structure (CIF):
```
data_KFe2Se
_cell_length_a 6.354
_cell_length_b 6.354
_cell_length_c 2.774
_cell_angle_alpha 102.46
_cell_angle_beta 102.46
_cell_angle_gamma 125.19
_symmetry_space_group_name_H-M 'P 1'
_symmetry_Int_Tables_number 1
loop_
_symmetry_equiv_pos_as_xyz
'x,y,z'
loop_
_atom_site_label
_atom_site_fract_x
_atom_site_fract_y
_atom_site_fract_z
K1 0.000 0.000 0.000
Fe1 0.000 0.500 0.000
Fe2 0.500 0.000 0.000
Se1 0.500 0.500 0.000
```

Summary:
The density of states at the Fermi level is 5.0 states/eV/cell. The value obtained for the raw formation energy is 747 meV/atom.


A relaxed structure of ZnPtF3. Source: Alexandria, functional PBE.

Structure (CIF):
```
data_ZnPtF3
_cell_length_a 4.065
_cell_length_b 4.065
_cell_length_c 4.065
_cell_angle_alpha 90.00
_cell_angle_beta 90.00
_cell_angle_gamma 90.00
_symmetry_space_group_name_H-M 'P 1'
_symmetry_Int_Tables_number 1
loop_
_symmetry_equiv_pos_as_xyz
'x,y,z'
loop_
_atom_site_label
_atom_site_fract_x
_atom_site_fract_y
_atom_site_fract_z
Zn1 0.000 0.000 0.000
Pt1 0.500 0.500 0.500
F1 0.000 0.000 0.500
F2 0.000 0.500 0.000
F3 0.500 0.000 0.000
```

Summary:
The density of states at the Fermi level is 6.4 states/eV/cell. The value obtained for the raw formation energy is -947 meV/atom. Its energy above the lowest structure with this stoichiometry is 0.000 eV/atom.


A relaxed structure of ZnCdIn2Au. Source: Alexandria, functional PBE.

Structure (CIF):
```
data_ZnCdIn2Au
_cell_length_a 5.167
_cell_length_b 5.167
_cell_length_c 5.043
_cell_angle_alpha 90.00
_cell_angle_beta 90.00
_cell_angle_gamma 90.00
_symmetry_space_group_name_H-M 'P 1'
_symmetry_Int_Tables_number 1
loop_
_symmetry_equiv_pos_as_xyz
'x,y,z'
loop_
_atom_site_label
_atom_site_fract_x
_atom_site_fract_y
_atom_site_fract_z
Zn1 0.000 0.000 0.000
Cd1 0.000 0.000 0.500
In1 0.000 0.500 0.000
In2 0.500 0.000 0.000
Au1 0.500 0.500 0.500
```

Summary:
The density of states at the Fermi level is 1.9 states/eV/cell. As for the energy of formation from the pure elements: 1.5 eV per formula unit. Its energy above the lowest structure with this stoichiometry is 0.000 eV/atom.


A relaxed structure of BeCrBiI2. Source: Alexandria, functional PBE.

Structure (CIF):
```
data_BeCrBiI2
_cell_length_a 5.437
_cell_length_b 5.437
_cell_length_c 5.513
_cell_angle_alpha 90.00
_cell_angle_beta 90.00
_cell_angle_gamma 90.00
_symmetry_space_group_name_H-M 'P 1'
_symmetry_Int_Tables_number 1
loop_
_symmetry_equiv_pos_as_xyz
'x,y,z'
loop_
_atom_site_label
_atom_site_fract_x
_atom_site_fract_y
_atom_site_fract_z
Be1 0.000 0.000 0.000
Cr1 0.500 0.500 0.500
Bi1 0.500 0.500 0.000
I1 0.000 0.500 0.500
I2 0.500 0.000 0.500
```

Summary:
The density of states at the Fermi level is 2.1 states/eV/cell. The value obtained for the raw formation energy is 778 meV/atom.